! GGA-PBE Li3H2, optimized geometry; values from VASP
&SYSTEM
  ibrav = 0, nat = 15, ntyp = 2
/
ATOMIC_SPECIES
Li 6.94 Li.upf
H 1.01 H.upf
CELL_PARAMETERS angstrom
6.317 -1.404 0.000
6.317 1.404 0.000
-2.262 0.000 8.439
ATOMIC_POSITIONS crystal
Li 0.000 0.000 0.000
Li 0.001 0.001 0.317
Li 0.330 0.330 0.781
Li 0.333 0.333 0.457
Li 0.335 0.335 0.101
Li 0.665 0.665 0.899
Li 0.667 0.667 0.543
Li 0.670 0.670 0.219
Li 0.999 0.999 0.683
H 0.167 0.167 0.047
H 0.170 0.170 0.385
H 0.493 0.493 0.837
H 0.507 0.507 0.163
H 0.830 0.830 0.615
H 0.833 0.833 0.953
! * crystal system: monoclinic
! * V: 10.0 Å³/atom
! * polymorph energy (0 for the lowest one): 7 meV per atom
! * symmetry: No. 12
! * total DFT energy (no corrections): -2.79 eV per atom